This record from Alexandria via LeMat-Bulk describes a relaxed structure of Dy5HgBi. The functional is PBE-GGA.

Results
For the formation energy, the calculation gives -0.14 eV per atom. For the calculated volume, the calculation gives 427.7 Å³ per cell. The calculation puts the total energy at -0.296 Ry/atom. For the density of states at the Fermi level, the calculation gives 15.35 states/eV/cell.

Cell lengths 6.4910, 6.4910, 13.3257 Å; angles 66.86, 66.86, 58.59 degrees
Closest atoms and distances in Å follow each position.
Fractional positions:
1 Hg 0.0000 0.0000 0.5000  2 Dy 2.98
2 Hg 0.0000 0.0000 0.0000  2 Dy 2.98
3 Dy 0.6178 0.9210 0.7072  1 Hg 2.98, 2 Dy 3.25-3.32, 2 Bi 3.25-3.32
4 Bi 0.4017 0.5983 0.2500  8 Dy 3.14-3.32
5 Dy 0.6531 0.6849 0.9919  1 Bi 3.14, 1 Dy 3.35
6 Dy 0.3822 0.0790 0.2928  1 Hg 2.98, 2 Dy 3.25-3.32, 2 Bi 3.25-3.32
7 Dy 0.9008 0.0992 0.2500  2 Bi 3.17-3.18, 4 Dy 3.25-3.32, 2 Hg 3.39
8 Dy 0.9210 0.6178 0.2072  1 Hg 2.98, 2 Dy 3.25-3.32, 2 Bi 3.25-3.32
9 Dy 0.0992 0.9008 0.7500  2 Bi 3.17-3.18, 4 Dy 3.25-3.32, 2 Hg 3.39
10 Dy 0.3151 0.3469 0.5081  1 Bi 3.14, 1 Dy 3.35
11 Bi 0.5983 0.4017 0.7500  8 Dy 3.14-3.32
12 Dy 0.3469 0.3151 0.0081  1 Bi 3.14, 1 Dy 3.35
13 Dy 0.6849 0.6531 0.4919  1 Bi 3.14, 1 Dy 3.35
14 Dy 0.0790 0.3822 0.7928  1 Hg 2.98, 2 Dy 3.25-3.32, 2 Bi 3.25-3.32



This record from Alexandria via LeMat-Bulk describes a relaxed structure of AcTmPu4. The functional is PBE-GGA.

Results
For the formation energy, the calculation gives 0.25 eV per atom. For the calculated volume, the calculation gives 176.9 Å³ per cell. The calculation puts the total energy at -0.789 Ry/atom. For the density of states at the Fermi level, the calculation gives 28.78 states/eV/cell.

Cell lengths 6.3016, 6.3016, 6.3016 Å; angles 60.00, 60.00, 60.00 degrees
Closest atoms and distances in Å follow each position.
Fractional positions:
1 Tm 0.0000 0.0000 0.0000  12 Pu 3.69, 4 Ac 3.86
2 Pu 0.6253 0.1240 0.6253  6 Pu 3.14-3.16
3 Pu 0.1240 0.6253 0.6253  6 Pu 3.14-3.16
4 Pu 0.6253 0.6253 0.1240  6 Pu 3.14-3.16
5 Pu 0.6253 0.6253 0.6253  6 Pu 3.14-3.16
6 Ac 0.2500 0.2500 0.2500  12 Pu 3.70, 4 Tm 3.86



This record from Alexandria via LeMat-Bulk describes a relaxed structure of Tl5Bi2Br12. The functional is PBE-GGA.

Results
For the calculated volume, the calculation gives 753.9 Å³ per cell. The calculation puts the total energy at -0.208 Ry/atom. For the density of states at the Fermi level, the calculation gives 7.02 states/eV/cell.

Cell lengths 8.5044, 9.9829, 10.4334 Å; angles 107.87, 90.00, 115.21 degrees
Closest atoms and distances in Å follow each position.
Fractional positions:
1 Br 0.9963 0.9925 0.8085  2 Bi 2.93, 1 Tl 3.24
2 Tl 0.7211 0.4423 0.3782  6 Br 3.28-3.63
3 Tl 0.0000 0.0000 0.5000  6 Br 3.01-3.24
4 Br 0.4327 0.3339 0.0879  1 Bi 2.84
5 Br 0.4930 0.9860 0.7997  2 Bi 2.93
6 Br 0.9013 0.3339 0.0879  1 Bi 2.84
7 Br 0.3705 0.2581 0.5569  3 Tl 3.01-3.34
8 Tl 0.2789 0.5577 0.6218  6 Br 3.28-3.63
9 Bi 0.7464 0.0000 0.0000  6 Br 2.84-2.93
10 Br 0.5673 0.6661 0.9121  1 Bi 2.84
11 Br 0.1124 0.7419 0.4431  3 Tl 3.01-3.34
12 Br 0.5070 0.0140 0.2003  2 Bi 2.93
13 Br 0.0987 0.6661 0.9121  1 Bi 2.84
14 Tl 0.3130 0.6260 0.1867  7 Br 3.34-3.61
15 Bi 0.2536 0.0000 0.0000  6 Br 2.84-2.93
16 Br 0.6295 0.7419 0.4431  3 Tl 3.01-3.34
17 Br 0.0037 0.0075 0.1915  2 Bi 2.93, 1 Tl 3.24
18 Tl 0.6870 0.3740 0.8133  7 Br 3.34-3.61
19 Br 0.8876 0.2581 0.5569  3 Tl 3.01-3.34



Total magnetic moment (computed, μB/f.u.): 0.000, 23.822, 0.001